(1)
Below is PrAlSb2 after structural relaxation, with properties calculated at the PBE level.

Output
V = 29.894 A^3/atom
DFT total energy = -16.55 eV per cell
Energy relative to the elements, uncorrected = 0.055 eV per atom

Cell lengths 3.6983, 3.6983, 10.3181 Å; angles 79.68, 79.68, 60.00 degrees
Positions (direct):
Pr1 0.0000 0.0000 0.0000
Al1 0.5000 0.5000 0.5000
Sb1 0.1059 0.1059 0.6824
Sb2 0.8941 0.8941 0.3176

(2)
Below is Pr3AlSb after structural relaxation, with properties calculated at the PBE level.

Output
V = 31.111 A^3/atom
DFT total energy = -50.27 eV per cell
Energy relative to the elements, uncorrected = -0.586 eV per atom

Cell lengths 4.2669, 8.5174, 8.8623 Å; angles 93.84, 89.99, 104.47 degrees
Site moments in Bohr magnetons follow the coordinates.
Positions (direct):
Pr1 0.6172 0.2657 0.7696  0.05
Pr2 0.2616 0.5563 0.0249  0.08
Pr3 0.9763 0.9855 0.0197  0.11
Pr4 0.0677 0.1686 0.4018  0.11
Pr5 0.7824 0.5978 0.3966  0.08
Pr6 0.4268 0.8883 0.6520  0.05
Al1 0.2342 0.5011 0.6440  0.00
Al2 0.8097 0.6529 0.7776  0.00
Sb1 0.6290 0.2912 0.1408  -0.01
Sb2 0.4149 0.8629 0.2808  -0.01

(3)
Below is Pr5Al2Sb after structural relaxation, with properties calculated at the PBE level.

Output
V = 30.292 A^3/atom
DFT total energy = -78.84 eV per cell
Energy relative to the elements, uncorrected = -0.489 eV per atom

Cell lengths 8.2518, 8.2518, 9.2038 Å; angles 116.63, 116.63, 90.00 degrees
Site moments in Bohr magnetons follow the coordinates.
Positions (direct):
Pr1 0.4784 0.3185 0.2970  0.09
Pr2 0.5216 0.6815 0.7030  0.09
Pr3 0.3185 0.8185 0.2970  0.09
Pr4 0.0216 0.5216 0.7030  0.09
Pr5 0.0000 0.0000 0.0000  0.29
Pr6 0.9784 0.4784 0.2970  0.09
Pr7 0.1815 0.0216 0.7030  0.09
Pr8 0.8185 0.9784 0.2970  0.09
Pr9 0.5000 0.5000 0.0000  0.29
Pr10 0.6815 0.1815 0.7030  0.09
Al1 0.1187 0.3813 0.0000  0.00
Al2 0.6187 0.1187 0.0000  0.00
Al3 0.8813 0.6187 0.0000  0.00
Al4 0.3813 0.8813 0.0000  0.00
Sb1 0.7500 0.7500 0.5000  -0.01
Sb2 0.2500 0.2500 0.5000  -0.01

(4)
Below is PrSc3Al4 after structural relaxation, with properties calculated at the PBE level.

Output
DFT formation energy = -395 meV/atom
V = 21.174 A^3/atom
DFT total energy = -83.80 eV per cell

Cell lengths 5.1972, 6.6004, 9.8761 Å; angles 90.00, 90.00, 90.00 degrees
Positions (direct):
Pr1 0.0000 0.5000 0.5000
Pr2 0.0000 0.5000 0.0000
Sc1 0.6297 0.0000 0.7500
Sc2 0.3703 0.0000 0.2500
Sc3 0.0000 0.0000 0.0000
Sc4 0.4120 0.5000 0.2500
Sc5 0.0000 0.0000 0.5000
Sc6 0.5880 0.5000 0.7500
Al1 0.8650 0.7778 0.2500
Al2 0.1350 0.7778 0.7500
Al3 0.5000 0.2222 0.5000
Al4 0.1350 0.2222 0.7500
Al5 0.5000 0.2222 0.0000
Al6 0.8650 0.2222 0.2500
Al7 0.5000 0.7778 0.5000
Al8 0.5000 0.7778 0.0000

(5)
Below is Pr2ScAl after structural relaxation, with properties calculated at the PBE level.

Output
DFT formation energy = -100 meV/atom
V = 28.078 A^3/atom
DFT total energy = -20.03 eV per cell

Cell lengths 4.0279, 4.0279, 6.9229 Å; angles 90.00, 90.00, 90.00 degrees
Positions (direct):
Pr1 0.0000 0.0000 0.7626
Pr2 0.0000 0.0000 0.2374
Sc1 0.5000 0.5000 0.5000
Al1 0.5000 0.5000 0.0000

(6)
Below is PrSc5Al3 after structural relaxation, with properties calculated at the PBE level.

Output
DFT formation energy = -290 meV/atom
V = 22.592 A^3/atom
DFT total energy = -100.55 eV per cell

Cell lengths 6.2739, 8.6514, 8.6513 Å; angles 120.00, 90.00, 90.00 degrees
Positions (direct):
Sc1 0.7500 0.3354 0.0000
Sc2 0.2500 0.0000 0.6646
Sc3 0.0000 0.3333 0.6666
Sc4 0.2500 0.6646 0.0000
Sc5 0.5000 0.6667 0.3334
Sc6 0.2500 0.3355 0.3354
Sc7 0.0000 0.6667 0.3334
Sc8 0.5000 0.3333 0.6666
Sc9 0.7500 0.6645 0.6646
Sc10 0.7500 0.0000 0.3354
Al1 0.7500 0.6567 0.0000
Al2 0.7500 0.0000 0.6568
Al3 0.2500 0.0000 0.3432
Al4 0.7500 0.3432 0.3432
Al5 0.2500 0.3433 0.0000
Al6 0.2500 0.6568 0.6568
Pr1 0.5000 0.0000 0.0000
Pr2 0.0000 0.0000 0.0000

(7)
Below is PrSc2Al6 after structural relaxation, with properties calculated at the PBE level.

Output
DFT formation energy = -291 meV/atom
V = 22.037 A^3/atom
DFT total energy = -42.52 eV per cell

Cell lengths 4.3050, 7.7019, 7.7019 Å; angles 54.91, 73.77, 73.77 degrees
Positions (direct):
Sc1 0.8796 0.6204 0.6204
Sc2 0.1204 0.3796 0.3796
Al1 0.5000 0.3216 0.6784
Al2 0.5000 0.6784 0.3216
Al3 0.6901 0.6110 0.0088
Al4 0.3099 0.3890 0.9912
Al5 0.6901 0.0088 0.6110
Al6 0.3099 0.9912 0.3890
Pr1 0.0000 0.0000 0.0000

(8)
Below is Pr2ScAl after structural relaxation, with properties calculated at the PBE level.

Output
DFT formation energy = 288 meV/atom
V = 30.176 A^3/atom
DFT total energy = -18.48 eV per cell

Cell lengths 3.4275, 3.4275, 12.0281 Å; angles 81.81, 81.81, 60.00 degrees
Positions (direct):
Al1 0.0000 0.0000 0.0000
Pr1 0.0885 0.0885 0.7344
Pr2 0.9115 0.9115 0.2656
Sc1 0.5000 0.5000 0.5000

(9)
Below is PrScAl after structural relaxation, with properties calculated at the PBE level.

Output
DFT formation energy = -203 meV/atom
V = 26.324 A^3/atom
DFT total energy = -30.92 eV per cell

Cell lengths 4.9050, 4.9050, 8.0920 Å; angles 72.36, 72.36, 60.00 degrees
Positions (direct):
Pr1 0.2092 0.2092 0.3725
Pr2 0.7908 0.7908 0.6275
Sc1 0.6371 0.6371 0.0888
Sc2 0.3629 0.3629 0.9112
Al1 0.9416 0.9416 0.1752
Al2 0.0584 0.0584 0.8248

(10)
Below is PrScAl after structural relaxation, with properties calculated at the PBE level.

Output
DFT formation energy = -1 meV/atom
V = 23.788 A^3/atom
DFT total energy = -14.86 eV per cell

Cell lengths 3.1210, 5.1384, 5.1384 Å; angles 120.00, 90.00, 90.00 degrees
Positions (direct):
Sc1 0.1654 0.0000 0.0000
Al1 0.6665 0.6667 0.3333
Pr1 0.1681 0.3333 0.6667

(11)
Below is Pr2ScAl after structural relaxation, with properties calculated at the PBE level.

Output
DFT formation energy = -82 meV/atom
V = 27.757 A^3/atom
DFT total energy = -19.96 eV per cell

Cell lengths 5.3949, 5.3949, 5.3949 Å; angles 60.00, 60.00, 60.00 degrees
Positions (direct):
Pr1 0.2500 0.2500 0.2500
Pr2 0.7500 0.7500 0.7500
Al1 0.0000 0.0000 0.0000
Sc1 0.5000 0.5000 0.5000

(12)
Below is Pr2ScAl after structural relaxation, with properties calculated at the PBE level.

Output
DFT formation energy = -155 meV/atom
V = 27.475 A^3/atom
DFT total energy = -20.25 eV per cell

Cell lengths 4.7577, 4.8062, 4.8062 Å; angles 90.00, 90.00, 90.00 degrees
Positions (direct):
Al1 0.5000 0.5000 0.5000
Pr1 0.0000 0.5000 0.0000
Pr2 0.0000 0.0000 0.5000
Sc1 0.5000 0.0000 0.0000